Material: Hf3NiF6
Method: DFT, PBE with a Hubbard U
State: optimized geometry

Output
- Energy: -6.719 eV/atom
- Magnetic moment: 0.00 μB/f.u.

Geometry as CIF:
```
data_Hf3NiF6
_chemical_formula_sum 'Hf6 Ni2 F12'
_space_group_name_H-M_alt 'C 1 2/m 1'
_space_group_IT_number 12
_cell_length_a 7.2104
_cell_length_b 6.7834
_cell_length_c 7.8907
_cell_angle_alpha 90.00
_cell_angle_beta 114.91
_cell_angle_gamma 90.00
loop_
_space_group_symop_operation_xyz
'x,y,z'
'-x,-y,-z'
'-x,y,-z'
'x,-y,z'
'x+1/2,y+1/2,z'
'-x+1/2,-y+1/2,-z'
'-x+1/2,y+1/2,-z'
'x+1/2,-y+1/2,z'
loop_
_atom_site_label
_atom_site_type_symbol
_atom_site_fract_x
_atom_site_fract_y
_atom_site_fract_z
Hf1 Hf 0.0000 0.0000 0.0000
Hf2 Hf 0.2500 0.2500 0.5000
Ni1 Ni 0.0000 0.5000 0.5000
F1 F 0.1015 0.2062 0.2131
F2 F 0.2355 0.5000 0.0083
```